Arrangement one

Material: MnTc2Pt
Method: DFT, PBE
State: optimized geometry

a = 8.9455 Å, b = 8.9455 Å, c = 8.9455 Å
α = 17.43°, β = 17.43°, γ = 17.43°
Fractional positions:
Mn 0.0000 0.0000 0.0000
Tc 0.2560 0.2560 0.2560
Tc 0.7440 0.7440 0.7440
Pt 0.5000 0.5000 0.5000

Computed properties:
Spin magnetization (μB/f.u.): 0.7
Space group: No. 166

Arrangement two

Material: MnTc2Pt
Method: DFT, PBE
State: optimized geometry

a = 2.6712 Å, b = 4.1857 Å, c = 5.2615 Å
α = 90.00°, β = 104.68°, γ = 90.00°
Fractional positions:
Mn 0.0000 0.0000 0.0000
Tc 0.3984 0.5000 0.8004
Tc 0.7556 0.0000 0.5154
Pt 0.1356 0.5000 0.2753

Computed properties:
Spin magnetization (μB/f.u.): 1.7
Space group: No. 6

Arrangement three

Material: MnTc2Pt
Method: DFT, PBE
State: optimized geometry

a = 2.7194 Å, b = 3.8631 Å, c = 5.4729 Å
α = 90.00°, β = 90.00°, γ = 90.00°
Fractional positions:
Mn 0.0000 0.0000 0.0000
Tc 0.0000 0.0000 0.5206
Tc 0.5000 0.5000 0.7504
Pt 0.5000 0.5000 0.2459

Computed properties:
Spin magnetization (μB/f.u.): 2.5
Space group: No. 25

Arrangement four

Material: MnTc2Pt
Method: DFT, PBE
State: optimized geometry

a = 4.3194 Å, b = 4.3194 Å, c = 4.3194 Å
α = 60.00°, β = 60.00°, γ = 60.00°
Fractional positions:
Mn 0.0000 0.0000 0.0000
Tc 0.2500 0.2500 0.2500
Tc 0.7500 0.7500 0.7500
Pt 0.5000 0.5000 0.5000

Computed properties:
Spin magnetization (μB/f.u.): 0.0
Space group: No. 225

According to the calculations, the structures order from most to least stable as arrangement three, arrangement two, arrangement one, arrangement four.